Na2CoMoF6 | PBE with a Hubbard U | optimized geometry

```
Na2CoMoF6
1.0
6.069 0.000 0.000
0.000 6.069 0.000
0.000 0.000 4.281
Na Co Mo F
2 1 1 6
direct
0.000 0.500 0.000
0.500 0.000 0.000
0.000 0.000 0.672
0.500 0.500 0.690
0.000 0.000 0.177
0.257 0.257 0.722
0.257 0.743 0.722
0.500 0.500 0.191
0.743 0.257 0.722
0.743 0.743 0.722
```

Output
- DFT total energy: -4.80 eV/atom
- Size of the total moment: 5.39 μB/cell